[1]
# Tl2AgPb (SCAN, PBEsol geometry)
data_Tl2AgPb
_space_group_name_H-M_alt 'P m m m'
_space_group_IT_number 47
_space_group_name_Hall '-P 2 2'
_cell_length_a 3.756
_cell_length_b 5.144
_cell_length_c 5.251
_cell_angle_alpha 90.00
_cell_angle_beta 90.00
_cell_angle_gamma 90.00
loop_
_atom_site_label
_atom_site_type_symbol
_atom_site_fract_x
_atom_site_fract_y
_atom_site_fract_z
_atom_site_occupancy
Tl1 Tl 0.000 0.000 0.000 1
Tl2 Tl 0.500 0.500 0.000 1
Ag1 Ag 0.000 0.500 0.500 1
Pb1 Pb 0.500 0.000 0.500 1
# - Formation energy from the elements: 0.146 eV/atom
# - Fermi-level density of states: 0.4224 states/eV per atom

---

[2]
# Al2Te3 (SCAN, PBEsol geometry)
data_Al2Te3
_space_group_name_H-M_alt 'P 1 21/c 1'
_space_group_IT_number 14
_space_group_name_Hall '-P 2ybc'
_cell_length_a 7.165
_cell_length_b 12.744
_cell_length_c 14.268
_cell_angle_alpha 90.00
_cell_angle_beta 90.38
_cell_angle_gamma 90.00
loop_
_atom_site_label
_atom_site_type_symbol
_atom_site_fract_x
_atom_site_fract_y
_atom_site_fract_z
_atom_site_occupancy
Al1 Al 0.070 0.068 0.182 1
Al2 Al 0.082 0.748 0.187 1
Al3 Al 0.419 0.091 0.807 1
Al4 Al 0.430 0.092 0.324 1
Te1 Te 0.072 0.069 0.370 1
Te2 Te 0.087 0.742 0.367 1
Te3 Te 0.095 0.095 0.899 1
Te4 Te 0.409 0.082 0.627 1
Te5 Te 0.409 0.743 0.598 1
Te6 Te 0.428 0.089 0.136 1
# - Raw formation energy: -491 meV per atom
# - Fermi-level density of states: 0.0000 states/eV per atom

---

[3]
# PPtSe2 (SCAN, PBEsol geometry)
data_PPtSe2
_space_group_name_H-M_alt 'P 4 m m'
_space_group_IT_number 99
_space_group_name_Hall 'P 4 -2'
_cell_length_a 2.794
_cell_length_b 2.794
_cell_length_c 10.029
_cell_angle_alpha 90.00
_cell_angle_beta 90.00
_cell_angle_gamma 90.00
loop_
_atom_site_label
_atom_site_type_symbol
_atom_site_fract_x
_atom_site_fract_y
_atom_site_fract_z
_atom_site_occupancy
P1 P 0.000 0.000 0.000 1
Pt1 Pt 0.500 0.500 0.149 1
Se1 Se 0.000 0.000 0.368 1
Se2 Se 0.500 0.500 0.711 1
# - Raw formation energy: 255 meV per atom
# - Fermi-level density of states: 0.3278 states/eV per atom

---

[4]
# LiAs2Cl (SCAN, PBEsol geometry)
data_LiAs2Cl
_space_group_name_H-M_alt 'P 1 2/m 1'
_space_group_IT_number 10
_space_group_name_Hall '-P 2y'
_cell_length_a 3.577
_cell_length_b 6.056
_cell_length_c 3.892
_cell_angle_alpha 90.00
_cell_angle_beta 91.52
_cell_angle_gamma 90.00
loop_
_atom_site_label
_atom_site_type_symbol
_atom_site_fract_x
_atom_site_fract_y
_atom_site_fract_z
_atom_site_occupancy
Li1 Li 0.000 0.000 0.000 1
As1 As 0.234 0.500 0.798 1
Cl1 Cl 0.500 0.000 0.500 1
# - Raw formation energy: -637 meV per atom
# - Fermi-level density of states: 0.2690 states/eV per atom
# - Excess energy over the best structure of this formula in the dataset: 294 meV per atom

---

[5]
# Ba2Y2CuPtO8 (SCAN, PBEsol geometry)
data_Ba2Y2CuPtO8
_space_group_name_H-M_alt 'P n m a'
_space_group_IT_number 62
_space_group_name_Hall '-P 2ac 2n'
_cell_length_a 13.135
_cell_length_b 5.656
_cell_length_c 10.280
_cell_angle_alpha 90.00
_cell_angle_beta 90.00
_cell_angle_gamma 90.00
loop_
_atom_site_label
_atom_site_type_symbol
_atom_site_fract_x
_atom_site_fract_y
_atom_site_fract_z
_atom_site_occupancy
Ba1 Ba 0.077 0.250 0.091 1
Ba2 Ba 0.208 0.750 0.313 1
Y1 Y 0.084 0.250 0.486 1
Y2 Y 0.142 0.750 0.686 1
Cu1 Cu 0.039 0.250 0.767 1
Pt1 Pt 0.193 0.750 0.966 1
O1 O 0.007 0.007 0.637 1
O2 O 0.087 0.750 0.107 1
O3 O 0.113 0.507 0.860 1
O4 O 0.204 0.250 0.314 1
O5 O 0.218 0.009 0.556 1
# - Raw formation energy: -2593 meV per atom

---

[6]
# Li3MnCoO5 (SCAN, PBEsol geometry)
data_Li3MnCoO5
_space_group_name_H-M_alt 'P 1'
_space_group_IT_number 1
_space_group_name_Hall 'P 1'
_cell_length_a 4.869
_cell_length_b 5.703
_cell_length_c 6.343
_cell_angle_alpha 104.15
_cell_angle_beta 97.14
_cell_angle_gamma 106.79
loop_
_atom_site_label
_atom_site_type_symbol
_atom_site_fract_x
_atom_site_fract_y
_atom_site_fract_z
_atom_site_occupancy
Li1 Li 0.000 0.000 0.000 1
Li2 Li 0.001 0.516 0.001 1
Li3 Li 0.196 0.908 0.408 1
Li4 Li 0.399 0.303 0.814 1
Li5 Li 0.614 0.713 0.196 1
Li6 Li 0.810 0.098 0.622 1
Mn1 Mn 0.203 0.407 0.407 1
Mn2 Mn 0.599 0.198 0.199 1
Co1 Co 0.404 0.809 0.811 1
Co2 Co 0.803 0.607 0.609 1
O1 O 0.102 0.927 0.705 1
O2 O 0.106 0.478 0.697 1
O3 O 0.317 0.358 0.133 1
O4 O 0.327 0.874 0.104 1
O5 O 0.499 0.271 0.493 1
O6 O 0.501 0.739 0.524 1
O7 O 0.683 0.147 0.919 1
O8 O 0.690 0.659 0.883 1
O9 O 0.904 0.086 0.314 1
O10 O 0.905 0.538 0.315 1
# - Raw formation energy: -2122 meV per atom

---

[7]
# YCd3Hg (SCAN, PBEsol geometry)
data_YCd3Hg
_space_group_name_H-M_alt 'P m -3 m'
_space_group_IT_number 221
_space_group_name_Hall '-P 4 2 3'
_cell_length_a 5.856
_cell_length_b 5.856
_cell_length_c 5.856
_cell_angle_alpha 90.00
_cell_angle_beta 90.00
_cell_angle_gamma 90.00
loop_
_atom_site_label
_atom_site_type_symbol
_atom_site_fract_x
_atom_site_fract_y
_atom_site_fract_z
_atom_site_occupancy
Y1 Y 0.000 0.000 0.000 1
Cd1 Cd 0.000 0.000 0.500 1
Hg1 Hg 0.500 0.500 0.500 1
# - Formation energy from the elements: 0.681 eV/atom
# - Fermi-level density of states: 1.2045 states/eV per atom

---

[8]
# Be2FeTcPd (SCAN, PBEsol geometry)
data_Be2FeTcPd
_space_group_name_H-M_alt 'P 4/m m m'
_space_group_IT_number 123
_space_group_name_Hall '-P 4 2'
_cell_length_a 4.123
_cell_length_b 4.123
_cell_length_c 4.626
_cell_angle_alpha 90.00
_cell_angle_beta 90.00
_cell_angle_gamma 90.00
loop_
_atom_site_label
_atom_site_type_symbol
_atom_site_fract_x
_atom_site_fract_y
_atom_site_fract_z
_atom_site_occupancy
Be1 Be 0.000 0.500 0.000 1
Fe1 Fe 0.000 0.000 0.500 1
Tc1 Tc 0.500 0.500 0.000 1
Pd1 Pd 0.500 0.500 0.500 1
# - Formation energy from the elements: 1.192 eV/atom
# - Fermi-level density of states: 0.6207 states/eV per atom

---

[9]
# Li2TlSb2 (SCAN, PBEsol geometry)
data_Li2TlSb2
_space_group_name_H-M_alt 'P 4/m b m'
_space_group_IT_number 127
_space_group_name_Hall '-P 4 2ab'
_cell_length_a 8.672
_cell_length_b 8.672
_cell_length_c 3.072
_cell_angle_alpha 90.00
_cell_angle_beta 90.00
_cell_angle_gamma 90.00
loop_
_atom_site_label
_atom_site_type_symbol
_atom_site_fract_x
_atom_site_fract_y
_atom_site_fract_z
_atom_site_occupancy
Li1 Li 0.128 0.372 0.000 1
Tl1 Tl 0.000 0.000 0.500 1
Sb1 Sb 0.165 0.665 0.500 1
# - Raw formation energy: -318 meV per atom
# - Fermi-level density of states: 0.3689 states/eV per atom
# - Excess energy over the best structure of this formula in the dataset: 0 meV per atom

---

[10]
# LaZrSc2 (SCAN, PBEsol geometry)
data_LaZrSc2
_space_group_name_H-M_alt 'P m m 2'
_space_group_IT_number 25
_space_group_name_Hall 'P 2 -2'
_cell_length_a 3.333
_cell_length_b 4.520
_cell_length_c 6.673
_cell_angle_alpha 90.00
_cell_angle_beta 90.00
_cell_angle_gamma 90.00
loop_
_atom_site_label
_atom_site_type_symbol
_atom_site_fract_x
_atom_site_fract_y
_atom_site_fract_z
_atom_site_occupancy
La1 La 0.000 0.000 0.000 1
Zr1 Zr 0.500 0.500 0.738 1
Sc1 Sc 0.000 0.000 0.514 1
Sc2 Sc 0.500 0.500 0.275 1
# - Formation energy from the elements: 0.128 eV/atom
# - Fermi-level density of states: 1.2513 states/eV per atom
# - Excess energy over the best structure of this formula in the dataset: 57 meV per atom

---

[11]
# YHgHCl2 (SCAN, PBEsol geometry)
data_YHgHCl2
_space_group_name_H-M_alt 'P 4/m m m'
_space_group_IT_number 123
_space_group_name_Hall '-P 4 2'
_cell_length_a 5.091
_cell_length_b 5.091
_cell_length_c 5.771
_cell_angle_alpha 90.00
_cell_angle_beta 90.00
_cell_angle_gamma 90.00
loop_
_atom_site_label
_atom_site_type_symbol
_atom_site_fract_x
_atom_site_fract_y
_atom_site_fract_z
_atom_site_occupancy
Y1 Y 0.000 0.000 0.000 1
Hg1 Hg 0.000 0.000 0.500 1
H1 H 0.500 0.500 0.000 1
Cl1 Cl 0.000 0.500 0.500 1
# - Fermi-level density of states: 0.3292 states/eV per atom
# - VASP energy: -0.8398 Ha/atom

---

[12]
# Be3NbNi (SCAN, PBEsol geometry)
data_Be3NbNi
_space_group_name_H-M_alt 'P m -3 m'
_space_group_IT_number 221
_space_group_name_Hall '-P 4 2 3'
_cell_length_a 4.266
_cell_length_b 4.266
_cell_length_c 4.266
_cell_angle_alpha 90.00
_cell_angle_beta 90.00
_cell_angle_gamma 90.00
loop_
_atom_site_label
_atom_site_type_symbol
_atom_site_fract_x
_atom_site_fract_y
_atom_site_fract_z
_atom_site_occupancy
Be1 Be 0.000 0.000 0.500 1
Nb1 Nb 0.000 0.000 0.000 1
Ni1 Ni 0.500 0.500 0.500 1
# - Formation energy from the elements: 1.870 eV/atom
# - Fermi-level density of states: 0.8702 states/eV per atom
# - Excess energy over the best structure of this formula in the dataset: 1746 meV per atom

---

| no. | density (g/cm³) |
| --- | --- |
| 1 | 11.8 |
| 2 | 4.5 |
| 3 | 8.1 |
| 4 | 3.8 |
| 5 | 7.3 |
| 6 | 4.5 |
| 7 | 5.2 |
| 8 | 5.9 |
| 9 | 6.6 |
| 10 | 5.3 |
| 11 | 4.0 |
| 12 | 3.8 |